Density functional theory data (PBE) for LiMnAsRu after structural relaxation.

a = 4.226 Å, b = 4.226 Å, c = 4.226 Å
α = 60.00°, β = 60.00°, γ = 60.00°
Positions (direct):
Ru 0.750 0.750 0.750
As 0.000 0.000 0.000
Mn 0.500 0.500 0.500
Li 0.250 0.250 0.250

Values from the calculation:
Energy relative to the elements: -0.24 eV/atom
D(E_F): 0.888 states/eV per cell
Symmetry: F-43m (216)
Crystal system: cubic